No. 1
A relaxed GaSiGe2 crystal, computed with GGA-PBEsol.

The space group is I-42d (No. 122) and the conventional cell measures 5.665, 5.665 and 10.989 Å, with angles of 90.00, 90.00 and 90.00 degrees. The asymmetric unit holds Ga at (0.000, 0.000, 0.000), Si at (0.000, 0.000, 0.500) and Ge at (0.240, 0.250, 0.625).

The crystal system is tetragonal.



No. 2
A relaxed ZrTcRh2 crystal, computed with GGA-PBEsol.

The space group is Cmmm (No. 65) and the conventional cell measures 5.557, 7.685 and 2.810 Å, with angles of 90.00, 90.00 and 90.00 degrees. The asymmetric unit holds Zr at (0.000, 0.000, 0.000), Tc at (0.000, 0.500, 0.000) and Rh at (0.250, 0.250, 0.500).

Its energy relative to the lowest polymorph listed for this composition is 0.000 eV/atom. The crystal system is orthorhombic.



| no. | uncorrected energy (eV per cell) |
| --- | --- |
| 1 | -74.22 |
| 2 | -76.14 |